Density functional theory data (PBE with a Hubbard U) for an optimized crystal structure of ZnCoTeO.

Cell and atoms, written as extended XYZ:
```
16
Lattice="5.7824 0.0000 0.0000 0.0000 7.2848 0.0000 0.0000 0.0000 7.8485" Properties=species:S:1:pos:R:3 pbc="T T T"
Te 1.5484 6.3309 1.1950
Te 4.2340 2.6885 2.7293
Te 4.4396 4.5962 6.6535
Te 1.3428 0.9538 5.1192
Co 5.6421 6.9226 7.0062
Co 0.1403 3.2802 4.7665
Co 3.0315 0.3622 3.0820
Co 2.7509 4.0046 0.8422
O 1.6202 2.6317 0.3201
O 4.5114 1.0107 7.5283
O 4.1622 6.2741 3.6041
O 1.2710 4.6531 4.2444
Zn 0.2854 6.2018 3.5987
Zn 5.4970 2.5594 0.3256
Zn 2.6058 1.0830 7.5229
Zn 3.1766 4.7253 4.2498
```

The final energy comes out at -4.147 eV per atom. The calculation puts the volume at 330.6 Å³/cell.